No. 1
# NaMnSb2Te

An optimized crystal structure of NaMnSb2Te (PBE, the Alexandria database).

```
5
Lattice="5.0934 0.0000 0.0000 0.0000 5.0934 0.0000 0.0000 0.0000 5.6445" Properties=species:S:1:pos:R:3 pbc="T T T"
Sb 0.0000 2.5467 0.0000
Sb 2.5467 0.0000 0.0000
Te 0.0000 0.0000 2.8223
Na 2.5467 2.5467 2.8223
Mn 0.0000 0.0000 0.0000
```

## Properties
**Formation energy without anion corrections**: 65 meV/atom
**Energy**: -4.3104 eV/atom
**Total magnetic moment**: 2.72 μB/cell
**Space-group type**: P4/mmm

***

No. 2
# NaMnSbTe2

An optimized crystal structure of NaMnSbTe2 (PBE, the Alexandria database).

```
5
Lattice="5.4450 0.0000 0.0000 0.0000 5.4450 0.0000 0.0000 0.0000 5.0864" Properties=species:S:1:pos:R:3 pbc="T T T"
Te 0.0000 2.7225 0.0000
Te 2.7225 0.0000 0.0000
Na 2.7225 2.7225 2.5432
Mn 0.0000 0.0000 0.0000
Sb 0.0000 0.0000 2.5432
```

## Properties
**Formation energy without anion corrections**: -25 meV/atom
**Energy**: -4.2038 eV/atom
**Total magnetic moment**: 3.41 μB/cell
**Space-group type**: P4/mmm

***

No. 3
# NaZrMnSb2

An optimized crystal structure of NaZrMnSb2 (PBE, the Alexandria database).

```
5
Lattice="5.1536 0.0000 0.0000 0.0000 4.8422 0.0000 0.0000 0.0000 5.1536" Properties=species:S:1:pos:R:3 pbc="T T T"
Zr 0.0000 2.4211 0.0000
Na 0.0000 0.0000 0.0000
Mn 2.5768 2.4211 2.5768
Sb 2.5768 0.0000 0.0000
Sb 0.0000 0.0000 2.5768
```

## Properties
**Formation energy without anion corrections**: 1678 meV/atom
**Energy**: -3.7785 eV/atom
**Total magnetic moment**: 0.07 μB/cell
**Space-group type**: P4/mmm